Computed, not measured: a relaxed structure of CeSnHg2 at the PBE-GGA level of DFT.

Properties
- Calculated formation energy: -0.269 eV per atom
- Magnetic moment: 2.12 μB per cell
- Uncorrected energy: -2.904 eV per atom

Cell lengths 5.2977, 5.2977, 7.4798 Å; angles 90.00, 90.00, 90.00 degrees
With the nearest neighbours (Å) after each atom.
Space group I-4m2 (No. 119)
One atom of each set of equivalent atoms:
Ce1 0.0000 0.0000 0.0000 x2  4 Hg 3.24, 4 Sn 3.24
Sn1 0.0000 0.5000 0.7500 x2  4 Hg 3.24, 4 Ce 3.24
Hg1 0.0000 0.0000 0.5000 x2  4 Hg 3.24, 4 Sn 3.24
Hg2 0.0000 0.5000 0.2500 x2  4 Hg 3.24, 4 Ce 3.24